Compound: NbCr3As
Source: the Alexandria database
Functional: meta-GGA SCAN
Structure: PBEsol geometry

a = 4.310 Å, b = 4.310 Å, c = 4.310 Å
α = 90.00°, β = 90.00°, γ = 90.00°
Space group Pm-3m (No. 221)
Inequivalent atoms, fractional coordinates:
Nb (0.000, 0.000, 0.000) [1 per cell]
Cr (0.000, 0.500, 0.500) [3 per cell]
As (0.500, 0.500, 0.500) [1 per cell]

Summary:
Formation energy in eV per formula unit: 3.8